This record from Alexandria via LeMat-Bulk describes a geometry-optimized Pm2PrMn structure. The functional is PBE.

It has space group R-3m (No. 166, hexagonal axes), with a = 3.4766 Å, b = 3.4766 Å, c = 35.2420 Å, α = 90.00°, β = 90.00° and γ = 120.00°. The inequivalent atoms are Pm at (0.0000, 0.0000, 0.0802), Pr at (0.0000, 0.0000, 0.5000) and Mn at (0.0000, 0.0000, 0.0000).

The calculation puts the formation energy at 0.544 eV per atom. The volume is 30.74 Å³/atom. As for the density of states at the Fermi level: 13.295 states/eV/cell. The energy above the most stable polymorph in this dataset comes out at 379 meV/atom. The total DFT energy (no corrections) is -5.3186 eV per atom.